Crystalline CrGeP2 at its relaxed geometry. Source: Alexandria, functional GGA-PBE.

Geometry as POSCAR:
```
CrGeP2
1.0
3.4805 0.0000 0.0000
1.7403 3.0142 0.0000
1.7403 1.0047 7.5889
Cr Ge P
1 1 2
Cartesian
0.0000 0.0000 0.0000 Cr
3.4805 2.0095 3.7944 Ge
1.7403 1.0047 5.2387 P
5.2208 3.0142 2.3502 P
```

Calculated values
For the total magnetization, the calculation gives 1.0071 μB/atom. Its formation energy is 564.6 meV per atom. As for the electronic total energy: -22.802 eV for the cell shown.

=====

Crystalline Pr4NdHo4 at its relaxed geometry. Source: Alexandria, functional GGA-PBE.

Geometry as POSCAR:
```
Pr4NdHo4
1.0
-1.3561 0.4155 -4.9278
-4.8382 -6.2405 -1.8628
-6.8261 4.3646 -0.4216
Pr Nd Ho
4 1 4
Cartesian
-10.9463 0.4940 -4.9501 Pr
-2.0740 -1.9544 -2.2621 Pr
-5.4426 3.1775 -3.5704 Pr
-7.5777 -4.6379 -3.6418 Pr
0.0000 0.0000 0.0000 Nd
-4.8269 -0.3565 -4.0378 Ho
-8.1935 -1.1039 -3.1744 Ho
-6.8641 -2.2542 -6.3053 Ho
-6.1563 0.7938 -0.9070 Ho
```

Calculated values
For the total magnetization, the calculation gives 0.0000 μB/atom. Its formation energy is 21.7 meV per atom. As for the electronic total energy: -42.002 eV for the cell shown.

=====

Crystalline GeMo3W at its relaxed geometry. Source: Alexandria, functional GGA-PBE.

Geometry as POSCAR:
```
GeMo3W
1.0
4.5305 0.0000 0.0000
0.0000 4.5305 0.0000
0.0000 0.0000 4.5305
Mo Ge W
3 1 1
Cartesian
0.0000 2.2652 0.0000 Mo
0.0000 0.0000 2.2652 Mo
2.2652 0.0000 0.0000 Mo
0.0000 0.0000 0.0000 Ge
2.2652 2.2652 2.2652 W
```

Calculated values
For the total magnetization, the calculation gives 0.0000 μB/atom. Its formation energy is 1507.3 meV per atom. As for the electronic total energy: -42.527 eV for the cell shown.

=====

Crystalline CeBiPb at its relaxed geometry. Source: Alexandria, functional GGA-PBE.

Geometry as POSCAR:
```
CeBiPb
1.0
5.4271 -0.1855 0.0000
-1.7451 5.1422 0.0000
0.0000 0.0000 6.7694
Bi Pb Ce
2 2 2
Cartesian
0.0000 0.0000 3.3847 Bi
0.0000 0.0000 0.0000 Bi
0.5881 3.4090 1.6923 Pb
3.0939 1.5476 5.0770 Pb
0.4990 3.4752 5.0770 Ce
3.1829 1.4815 1.6923 Ce
```

Calculated values
For the total magnetization, the calculation gives 0.2740 μB/atom. Its formation energy is -334.9 meV per atom. As for the electronic total energy: -29.056 eV for the cell shown. The calculation puts the energy above the most stable polymorph in this dataset at 154 meV/atom.

=====

Crystalline K2LaPrO4 at its relaxed geometry. Source: Alexandria, functional GGA-PBE.

Geometry as POSCAR:
```
K2LaPrO4
1.0
-3.4083 -1.2073 -0.7983
0.5489 -4.5298 4.5073
-2.5890 5.4746 2.7746
K La Pr O
2 1 1 4
Cartesian
-2.9987 2.1336 0.9882 K
-1.0201 0.4724 3.6409 K
-1.4297 -2.8685 1.8545 La
0.0000 0.0000 0.0000 Pr
-2.0757 -0.5901 1.1668 O
-3.3728 0.3276 5.3168 O
-1.9471 3.2134 3.4535 O
-0.0931 -2.2686 3.8284 O
```

Calculated values
For the total magnetization, the calculation gives 0.0000 μB/atom. As for the formation energy without anion corrections: -2.620 eV per atom. As for the electronic total energy: -52.698 eV for the cell shown.

=====

Crystalline ZrCo2As at its relaxed geometry. Source: Alexandria, functional GGA-PBE.

Geometry as POSCAR:
```
ZrCo2As
1.0
4.5174 -0.0099 0.0000
0.9937 4.4067 0.0000
-2.7555 -2.1984 2.8250
As Co Zr
1 2 1
Cartesian
2.2587 -0.0049 1.4125 As
0.0000 0.0000 0.0000 Co
2.7555 2.1984 0.0000 Co
0.4969 2.2034 1.4125 Zr
```

Calculated values
For the total magnetization, the calculation gives 0.2722 μB/atom. Its formation energy is -312.3 meV per atom. As for the electronic total energy: -28.659 eV for the cell shown.

=====

Crystalline HgAu at its relaxed geometry. Source: Alexandria, functional GGA-PBE.

Geometry as POSCAR:
```
HgAu
1.0
4.4862 0.0000 0.0000
-2.2431 3.8851 0.0000
0.0000 0.0000 5.5128
Au Hg
2 2
Cartesian
0.0000 0.0000 0.0000 Au
0.0000 0.0000 2.7564 Au
0.0000 2.5901 1.3782 Hg
2.2431 1.2950 4.1346 Hg
```

Calculated values
For the total magnetization, the calculation gives 0.0000 μB/atom. Its formation energy is 7.7 meV per atom. As for the electronic total energy: -7.128 eV for the cell shown.

=====

Crystalline YSc2Ag at its relaxed geometry. Source: Alexandria, functional GGA-PBE.

Geometry as POSCAR:
```
YSc2Ag
1.0
-4.5606 2.0065 -1.2660
-3.4787 0.9848 3.6547
-1.1062 4.8616 1.2527
Ag Sc Y
1 2 1
Cartesian
-4.5727 3.9264 1.8207 Ag
0.0000 0.0000 0.0000 Sc
-2.2864 1.9632 0.9104 Sc
-6.8591 5.8896 2.7311 Y
```

Calculated values
For the total magnetization, the calculation gives 0.0001 μB/atom. Its formation energy is 47.8 meV per atom. As for the electronic total energy: -21.787 eV for the cell shown. The calculation puts the energy above the most stable polymorph in this dataset at 163 meV/atom.

=====

Crystalline BaSr3S4 at its relaxed geometry. Source: Alexandria, functional GGA-PBE.

Geometry as POSCAR:
```
BaSr3S4
1.0
4.3592 -0.0544 0.0739
0.0549 7.2529 2.1163
-0.1224 0.4197 7.5429
Sr S Ba
3 4 1
Cartesian
2.1182 0.1835 3.8084 Sr
4.2366 0.3661 7.6168 Sr
4.3252 3.7827 4.9035 Sr
4.3102 5.7700 7.2634 S
2.1906 5.5554 3.5569 S
4.3403 1.7957 2.5434 S
2.1007 2.0643 6.1763 S
2.0845 4.0198 8.6379 Ba
```

Calculated values
For the total magnetization, the calculation gives 0.0000 μB/atom. As for the formation energy without anion corrections: -2.118 eV per atom. As for the electronic total energy: -40.420 eV for the cell shown.

=====

Crystalline Ba4Hg2N at its relaxed geometry. Source: Alexandria, functional GGA-PBE.

Geometry as POSCAR:
```
Ba4Hg2N
1.0
-1.4621 0.2895 5.4532
-5.4457 -0.4971 -1.4337
4.0652 -8.3625 -1.3964
N Hg Ba
1 2 4
Cartesian
0.0000 0.0000 0.0000 N
-3.2924 -2.3402 2.1717 Hg
0.4499 -6.2299 0.4513 Hg
-3.0396 -5.8415 2.4254 Ba
0.1970 -2.7286 0.1977 Ba
-2.7229 -0.2485 -0.7168 Ba
-0.7310 0.1447 2.7266 Ba
```

Calculated values
For the total magnetization, the calculation gives 0.0000 μB/atom. As for the formation energy without anion corrections: -0.367 eV per atom. As for the electronic total energy: -19.187 eV for the cell shown. The calculation puts the energy above the most stable polymorph in this dataset at 43 meV/atom.

=====

Crystalline LaZnInPb2 at its relaxed geometry. Source: Alexandria, functional GGA-PBE.

Geometry as POSCAR:
```
LaZnInPb2
1.0
6.1312 0.0000 0.0000
0.0000 6.3330 0.0000
0.0000 0.0000 6.1312
Pb Zn In La
2 1 1 1
Cartesian
0.0000 0.0000 3.0656 Pb
3.0656 0.0000 0.0000 Pb
3.0656 3.1665 3.0656 Zn
0.0000 3.1665 0.0000 In
0.0000 0.0000 0.0000 La
```

Calculated values
For the total magnetization, the calculation gives 0.0000 μB/atom. Its formation energy is 714.6 meV per atom. As for the electronic total energy: -12.783 eV for the cell shown.

=====

Crystalline DySbPt6 at its relaxed geometry. Source: Alexandria, functional GGA-PBE.

Geometry as POSCAR:
```
DySbPt6
1.0
4.0982 0.0000 0.0000
0.0000 4.0982 0.0000
0.0000 0.0000 8.2122
Dy Sb Pt
1 1 6
Cartesian
0.0000 0.0000 0.0000 Dy
0.0000 0.0000 4.1061 Sb
2.0491 2.0491 0.0000 Pt
2.0491 2.0491 4.1061 Pt
2.0491 0.0000 2.0834 Pt
2.0491 0.0000 6.1288 Pt
0.0000 2.0491 2.0834 Pt
0.0000 2.0491 6.1288 Pt
```

Calculated values
For the total magnetization, the calculation gives 0.0000 μB/atom. As for the formation energy without anion corrections: -0.620 eV per atom. As for the electronic total energy: -49.929 eV for the cell shown.

=====

Q: Which value of electronic total energy does entry 1 give?
A: -22.802 eV for the cell shown